The following is a DFT calculation (PBE-GGA) of a geometry-optimized GdCdInRh structure.

Cell lengths 4.928, 4.928, 4.928 Å; angles 60.00, 60.00, 60.00 degrees
Positions (direct):
Gd  0.000  0.000  0.000
Cd  0.250  0.250  0.250
In  0.500  0.500  0.500
Rh  0.750  0.750  0.750

M_tot = 7.201 μB per formula unit
Raw total energy = -6.661 eV/atom
Energy relative to the elements = -389 meV per atom